VASP calculation (GGA-PBE) on crystalline Tl3Rh at its relaxed geometry.

Computed properties:
SG: No. 225
energy relative to the lowest polymorph listed for this composition: 268 meV/atom
calculated density: 12392 kg/m³
ΔH_f (0 K): 0.3135 eV/atom

Geometry as POSCAR:
```
Tl3Rh
1.0
0.000 3.634 3.634
3.634 0.000 3.634
3.634 3.634 0.000
Tl Rh
3 1
direct
0.000 0.000 0.000
0.250 0.250 0.250
0.750 0.750 0.750
0.500 0.500 0.500
```

VASP calculation (GGA-PBE) on crystalline TlRh8 at its relaxed geometry.

Computed properties:
SG: No. 139
calculated density: 12599 kg/m³
ΔH_f (0 K): 0.1085 eV/atom

Geometry as POSCAR:
```
TlRh8
1.0
-4.159 4.159 1.958
4.159 -4.159 1.958
4.159 4.159 -1.958
Tl Rh
1 8
direct
0.000 0.000 0.000
0.000 0.339 0.339
0.000 0.661 0.661
0.325 0.325 0.649
0.325 0.675 0.000
0.339 0.000 0.339
0.661 0.000 0.661
0.675 0.325 0.000
0.675 0.675 0.351
```

VASP calculation (GGA-PBE) on crystalline TlRh at its relaxed geometry.

Computed properties:
SG: No. 217
calculated density: 7327 kg/m³
ΔH_f (0 K): 0.4850 eV/atom

Geometry as POSCAR:
```
TlRh
1.0
-4.114 4.114 4.114
4.114 -4.114 4.114
4.114 4.114 -4.114
Tl Rh
4 4
direct
0.000 0.000 0.405
0.000 0.405 0.000
0.405 0.000 0.000
0.595 0.595 0.595
0.000 0.000 0.774
0.000 0.774 0.000
0.226 0.226 0.226
0.774 0.000 0.000
```

VASP calculation (GGA-PBE) on crystalline TlRh at its relaxed geometry.

Computed properties:
SG: No. 166
calculated density: 13175 kg/m³
ΔH_f (0 K): 0.1964 eV/atom

Geometry as POSCAR:
```
TlRh
1.0
1.667 0.962 4.024
-1.667 0.962 4.024
0.000 -1.925 4.024
Tl Rh
1 1
direct
0.000 0.000 0.000
0.500 0.500 0.500
```

VASP calculation (GGA-PBE) on crystalline TlRh6 at its relaxed geometry.

Computed properties:
SG: No. 229
calculated density: 8684 kg/m³
ΔH_f (0 K): 0.8467 eV/atom

Geometry as POSCAR:
```
TlRh6
1.0
-3.399 3.399 3.399
3.399 -3.399 3.399
3.399 3.399 -3.399
Tl Rh
1 6
direct
0.000 0.000 0.000
0.250 0.500 0.750
0.250 0.750 0.500
0.500 0.250 0.750
0.500 0.750 0.250
0.750 0.250 0.500
0.750 0.500 0.250
```

VASP calculation (GGA-PBE) on crystalline TlRh at its relaxed geometry.

Computed properties:
SG: No. 59
calculated density: 11639 kg/m³
ΔH_f (0 K): 0.2411 eV/atom

Geometry as POSCAR:
```
TlRh
1.0
4.620 0.000 0.000
0.000 12.249 0.000
0.000 0.000 4.648
Tl Rh
6 6
direct
0.250 0.018 0.243
0.250 0.482 0.243
0.250 0.750 0.220
0.750 0.250 0.780
0.750 0.518 0.757
0.750 0.982 0.757
0.250 0.250 0.220
0.250 0.636 0.718
0.250 0.864 0.718
0.750 0.136 0.282
0.750 0.364 0.282
0.750 0.750 0.780
```

VASP calculation (GGA-PBE) on crystalline Tl2Rh at its relaxed geometry.

Computed properties:
SG: No. 155
calculated density: 12672 kg/m³
ΔH_f (0 K): 0.3087 eV/atom

Geometry as POSCAR:
```
Tl2Rh
1.0
3.008 1.737 4.279
-3.008 1.737 4.279
0.000 -3.473 4.279
Tl Rh
4 2
direct
0.000 0.000 0.000
0.196 0.500 0.804
0.500 0.804 0.196
0.804 0.196 0.500
0.319 0.319 0.319
0.681 0.681 0.681
```

VASP calculation (GGA-PBE) on crystalline TlRh at its relaxed geometry.

Computed properties:
SG: No. 227
calculated density: 13485 kg/m³
ΔH_f (0 K): 0.4422 eV/atom

Geometry as POSCAR:
```
TlRh
1.0
0.000 3.357 3.357
3.357 0.000 3.357
3.357 3.357 0.000
Tl Rh
2 2
direct
0.125 0.125 0.125
0.875 0.875 0.875
0.375 0.375 0.375
0.625 0.625 0.625
```

VASP calculation (GGA-PBE) on crystalline TlRh at its relaxed geometry.

Computed properties:
SG: No. 59
calculated density: 13261 kg/m³
ΔH_f (0 K): 0.2228 eV/atom

Geometry as POSCAR:
```
TlRh
1.0
3.289 0.000 0.000
0.000 5.183 0.000
0.000 0.000 4.515
Tl Rh
2 2
direct
0.250 0.250 0.139
0.750 0.750 0.861
0.250 0.750 0.370
0.750 0.250 0.630
```

VASP calculation (GGA-PBE) on crystalline Tl3Rh at its relaxed geometry.

Computed properties:
SG: No. 71
energy relative to the lowest polymorph listed for this composition: 15 meV/atom
calculated density: 11447 kg/m³
ΔH_f (0 K): 0.0609 eV/atom

Geometry as POSCAR:
```
Tl3Rh
1.0
-1.563 2.344 7.086
1.563 -2.344 7.086
1.563 2.344 -7.086
Tl Rh
3 1
direct
0.000 0.000 0.000
0.322 0.822 0.500
0.678 0.178 0.500
0.500 0.500 0.000
```

VASP calculation (GGA-PBE) on crystalline TlRh at its relaxed geometry.

Computed properties:
SG: No. 187
calculated density: 13174 kg/m³
ΔH_f (0 K): 0.2006 eV/atom

Geometry as POSCAR:
```
TlRh
1.0
3.312 0.000 0.000
-1.656 2.868 0.000
0.000 0.000 4.077
Tl Rh
1 1
direct
0.000 0.000 0.000
0.333 0.667 0.500
```

VASP calculation (GGA-PBE) on crystalline Tl2Rh at its relaxed geometry.

Computed properties:
SG: No. 58
calculated density: 10712 kg/m³
ΔH_f (0 K): 0.0768 eV/atom

Geometry as POSCAR:
```
Tl2Rh
1.0
7.010 0.000 0.000
0.000 7.024 0.000
0.000 0.000 3.222
Tl Rh
4 2
direct
0.228 0.226 0.000
0.272 0.726 0.500
0.728 0.274 0.500
0.772 0.774 0.000
0.000 0.000 0.500
0.500 0.500 0.000
```

VASP calculation (GGA-PBE) on crystalline Tl3Rh2 at its relaxed geometry.

Computed properties:
SG: No. 139
energy relative to the lowest polymorph listed for this composition: 110 meV/atom
calculated density: 12062 kg/m³
ΔH_f (0 K): 0.2035 eV/atom

Geometry as POSCAR:
```
Tl3Rh2
1.0
-1.627 1.627 10.647
1.627 -1.627 10.647
1.627 1.627 -10.647
Tl Rh
3 2
direct
0.000 0.000 0.000
0.368 0.368 0.000
0.632 0.632 0.000
0.220 0.220 0.000
0.780 0.780 0.000
```

VASP calculation (GGA-PBE) on crystalline Tl2Rh3 at its relaxed geometry.

Computed properties:
SG: No. 139
energy relative to the lowest polymorph listed for this composition: 0 meV/atom
calculated density: 13665 kg/m³
ΔH_f (0 K): 0.1943 eV/atom

Geometry as POSCAR:
```
Tl2Rh3
1.0
-1.553 1.553 9.038
1.553 -1.553 9.038
1.553 1.553 -9.038
Tl Rh
2 3
direct
0.102 0.102 0.000
0.898 0.898 0.000
0.295 0.295 0.000
0.500 0.500 0.000
0.705 0.705 0.000
```

Fermi-level density of states (states/eV/f.u.)
3.22; 16.59; 2.04; 2.02; 12.16; 2.12; 1.76; 2.07; 1.34; 2.01; 1.92; 1.46; 5.28; 4.84